Compound: Ca3GeMo
Source: Alexandria via LeMat-Bulk
Functional: PBEsol
Structure: relaxed

Calculated values
* SG: Pm-3m (221)
* formation energy: 0.718 eV/atom
* D(E_F): 0.9130 states/eV per atom
* theoretical density: 2.76 g/cm³

Unit cell a=5.580 b=5.580 c=5.580 alpha=90.00 beta=90.00 gamma=90.00
Site moments in Bohr magnetons follow the coordinates.
Positions (direct):
1 Ca 0.000 0.500 0.000  0.03
2 Ca 0.000 0.000 0.500  0.03
3 Ca 0.500 0.000 0.000  0.03
4 Mo 0.500 0.500 0.500  3.86
5 Ge 0.000 0.000 0.000  0.07



Compound: TlGaGe3
Source: Alexandria via LeMat-Bulk
Functional: PBEsol
Structure: relaxed

Calculated values
* SG: Pm-3m (221)
* formation energy: 1.080 eV/atom
* D(E_F): 0.6396 states/eV per atom
* theoretical density: 5.54 g/cm³

Unit cell a=5.284 b=5.284 c=5.284 alpha=90.00 beta=90.00 gamma=90.00
Positions (direct):
1 Ge 0.000 0.000 0.500
2 Ge 0.500 0.000 0.000
3 Ge 0.000 0.500 0.000
4 Ga 0.500 0.500 0.500
5 Tl 0.000 0.000 0.000



Compound: CaY2Be
Source: Alexandria via LeMat-Bulk
Functional: PBEsol
Structure: relaxed

Calculated values
* SG: F-43m (216)
* formation energy: 0.446 eV/atom
* D(E_F): 0.7740 states/eV per atom
* theoretical density: 3.63 g/cm³

Unit cell a=5.274 b=5.274 c=5.274 alpha=60.00 beta=60.00 gamma=60.00
Positions (direct):
1 Y 0.750 0.750 0.750
2 Y 0.000 0.000 0.000
3 Be 0.500 0.500 0.500
4 Ca 0.250 0.250 0.250



Compound: Cr2HgRu
Source: Alexandria via LeMat-Bulk
Functional: PBEsol
Structure: relaxed

Calculated values
* SG: I4/mmm (139)
* formation energy: 0.562 eV/atom
* D(E_F): 1.4305 states/eV per atom
* theoretical density: 12.19 g/cm³

Unit cell a=3.783 b=3.784 c=4.695 alpha=113.77 beta=113.75 gamma=90.00
Site moments in Bohr magnetons follow the coordinates.
Positions (direct):
1 Cr 0.750 0.750 0.500  0.96
2 Cr 0.250 0.250 0.500  0.96
3 Hg 0.500 0.000 0.000  0.00
4 Ru 0.000 0.500 0.000  -0.04



Compound: Zr3S
Source: Alexandria via LeMat-Bulk
Functional: PBEsol
Structure: relaxed

Calculated values
* SG: Pm-3m (221)
* formation energy (no corrections): -0.31 eV/atom
* D(E_F): 1.1169 states/eV per atom
* theoretical density: 6.95 g/cm³

Unit cell a=4.181 b=4.181 c=4.181 alpha=90.00 beta=90.00 gamma=90.00
Positions (direct):
1 Zr 0.000 0.500 0.500
2 Zr 0.500 0.000 0.500
3 Zr 0.500 0.500 0.000
4 S 0.000 0.000 0.000



Compound: MnAl2P2H18O18
Source: Alexandria via LeMat-Bulk
Functional: PBEsol
Structure: relaxed

Calculated values
* SG: P-1 (2)
* D(E_F): 0.0000 states/eV per atom
* theoretical density: 2.43 g/cm³
* electronic total energy: -6.02 eV/atom

Unit cell a=6.997 b=10.082 c=10.331 alpha=106.90 beta=89.96 gamma=110.04
Site moments in Bohr magnetons follow the coordinates.
Positions (direct):
1 H 0.628 0.531 0.408  0.00
2 H 0.810 0.011 0.666  0.00
3 H 0.913 0.184 0.746  0.00
4 H 0.097 0.526 0.620  0.00
5 H 0.588 0.733 0.958  0.00
6 H 0.903 0.474 0.380  0.00
7 H 0.284 0.666 0.711  0.00
8 H 0.919 0.738 0.972  0.00
9 H 0.364 0.034 0.607  0.00
10 H 0.372 0.469 0.592  0.00
11 H 0.412 0.267 0.042  0.00
12 H 0.653 0.639 0.261  0.00
13 H 0.861 0.618 0.664  0.00
14 H 0.347 0.361 0.739  0.00
15 H 0.087 0.816 0.254  0.00
16 H 0.283 0.318 0.476  0.00
17 H 0.703 0.951 0.147  0.00
18 H 0.139 0.382 0.336  0.00
19 H 0.160 0.224 0.260  0.00
20 H 0.903 0.934 0.219  0.00
21 H 0.925 0.187 0.406  0.00
22 H 0.717 0.682 0.524  0.00
23 H 0.777 0.545 0.164  0.00
24 H 0.543 0.145 0.726  0.00
25 H 0.636 0.966 0.393  0.00
26 H 0.190 0.989 0.334  0.00
27 H 0.297 0.049 0.853  0.00
28 H 0.886 0.132 0.541  0.00
29 H 0.840 0.776 0.740  0.00
30 H 0.716 0.334 0.289  0.00
31 H 0.114 0.868 0.459  0.00
32 H 0.223 0.455 0.836  0.00
33 H 0.097 0.066 0.781  0.00
34 H 0.457 0.855 0.274  0.00
35 H 0.081 0.262 0.028  0.00
36 H 0.075 0.813 0.594  0.00
37 O 0.585 0.876 0.663  0.03
38 O 0.185 0.858 0.540  0.02
39 O 0.049 0.824 0.991  0.00
40 O 0.567 0.067 0.881  0.00
41 O 0.823 0.310 0.843  0.00
42 O 0.242 0.588 0.616  0.03
43 O 0.475 0.677 0.001  0.00
44 O 0.269 0.456 0.097  0.00
45 O 0.156 0.552 0.328  0.03
46 O 0.383 0.368 0.563  0.02
47 O 0.688 0.606 0.166  0.00
48 O 0.844 0.448 0.672  0.03
49 O 0.617 0.632 0.437  0.02
50 O 0.874 0.717 0.654  0.00
51 O 0.095 0.561 0.880  0.00
52 O 0.951 0.176 0.009  0.00
53 O 0.415 0.124 0.337  0.03
54 O 0.365 0.799 0.839  0.00
55 O 0.758 0.412 0.384  0.03
56 O 0.249 0.115 0.117  0.00
57 O 0.534 0.862 0.358  0.03
58 O 0.466 0.138 0.642  0.03
59 O 0.905 0.439 0.120  0.00
60 O 0.146 0.021 0.844  0.00
61 O 0.177 0.690 0.157  0.00
62 O 0.815 0.142 0.460  0.02
63 O 0.751 0.885 0.883  0.00
64 O 0.433 0.933 0.119  0.00
65 O 0.854 0.979 0.156  0.00
66 O 0.126 0.283 0.346  0.00
67 O 0.635 0.201 0.161  0.00
68 O 0.731 0.544 0.903  0.00
69 O 0.059 0.901 0.321  0.00
70 O 0.525 0.323 0.999  0.00
71 O 0.941 0.099 0.679  0.00
72 O 0.312 0.394 0.834  0.00
73 Al 0.500 0.500 0.000  0.00
74 Al 0.261 0.750 0.998  0.00
75 Al 0.739 0.250 0.002  0.00
76 Al 0.000 0.000 0.000  0.00
77 P 0.131 0.535 0.174  0.00
78 P 0.569 0.908 0.817  0.01
79 P 0.431 0.092 0.183  0.01
80 P 0.869 0.465 0.826  0.00
81 Mn 0.619 0.272 0.518  4.53
82 Mn 0.381 0.728 0.482  4.53



Compound: BaSrPb2
Source: Alexandria via LeMat-Bulk
Functional: PBEsol
Structure: relaxed

Calculated values
* SG: P4/mmm (123)
* formation energy: -0.551 eV/atom
* D(E_F): 0.3310 states/eV per atom
* theoretical density: 7.76 g/cm³

Unit cell a=3.735 b=3.735 c=9.810 alpha=90.00 beta=90.00 gamma=90.00
Positions (direct):
1 Ba 0.500 0.500 0.500
2 Pb 0.000 0.000 0.242
3 Pb 0.000 0.000 0.758
4 Sr 0.500 0.500 0.000



Compound: MgGaPO2
Source: Alexandria via LeMat-Bulk
Functional: PBEsol
Structure: relaxed

Calculated values
* SG: P4/mmm (123)
* formation energy (no corrections): -0.26 eV/atom
* E above lowest polymorph: 242 meV per atom
* D(E_F): 0.6553 states/eV per atom
* theoretical density: 3.49 g/cm³

Unit cell a=3.758 b=3.758 c=5.287 alpha=90.00 beta=90.00 gamma=90.00
Site moments in Bohr magnetons follow the coordinates.
Positions (direct):
1 O 0.500 0.000 0.000  0.62
2 O 0.000 0.500 0.000  0.62
3 P 0.000 0.000 0.500  0.20
4 Ga 0.500 0.500 0.500  -0.01
5 Mg 0.000 0.000 0.000  0.00



Compound: K2NaGa2
Source: Alexandria via LeMat-Bulk
Functional: PBEsol
Structure: relaxed

Calculated values
* SG: I4/mmm (139)
* formation energy: 0.201 eV/atom
* D(E_F): 0.6594 states/eV per atom
* theoretical density: 2.19 g/cm³

Unit cell a=5.093 b=5.093 c=7.904 alpha=108.80 beta=108.80 gamma=90.00
Positions (direct):
1 K 0.250 0.750 0.500
2 K 0.750 0.250 0.500
3 Ga 0.415 0.415 0.830
4 Ga 0.585 0.585 0.170
5 Na 0.000 0.000 0.000



Compound: Tc2NiCl
Source: Alexandria via LeMat-Bulk
Functional: PBEsol
Structure: relaxed

Calculated values
* SG: Pmmm (47)
* formation energy (no corrections): 0.77 eV/atom
* E above lowest polymorph: 433 meV per atom
* D(E_F): 1.3114 states/eV per atom
* theoretical density: 8.87 g/cm³

Unit cell a=2.711 b=4.425 c=4.528 alpha=90.00 beta=90.00 gamma=90.00
Positions (direct):
1 Ni 0.000 0.500 0.500
2 Cl 0.500 0.500 0.000
3 Tc 0.000 0.000 0.000
4 Tc 0.500 0.000 0.500



Compound: TlIn2RePt
Source: Alexandria via LeMat-Bulk
Functional: PBEsol
Structure: relaxed

Calculated values
* SG: P4/mmm (123)
* formation energy: 1.935 eV/atom
* D(E_F): 0.5741 states/eV per atom
* theoretical density: 9.48 g/cm³

Unit cell a=4.987 b=5.352 c=5.352 alpha=90.00 beta=90.00 gamma=90.00
Site moments in Bohr magnetons follow the coordinates.
Positions (direct):
1 In 0.000 0.500 0.000  -0.02
2 In 0.000 0.000 0.500  -0.02
3 Tl 0.000 0.000 0.000  0.01
4 Re 0.500 0.500 0.500  3.59
5 Pt 0.500 0.000 0.000  0.14



Compound: LaYZn
Source: Alexandria via LeMat-Bulk
Functional: PBEsol
Structure: relaxed

Calculated values
* SG: F-43m (216)
* formation energy: 0.410 eV/atom
* E above lowest polymorph: 598 meV per atom
* D(E_F): 0.3235 states/eV per atom
* theoretical density: 5.86 g/cm³

Unit cell a=4.899 b=4.899 c=4.899 alpha=60.00 beta=60.00 gamma=60.00
Positions (direct):
1 La 0.500 0.500 0.500
2 Y 0.750 0.750 0.750
3 Zn 0.000 0.000 0.000